(1)
{
  "formula": "Ca2ZrSi",
  "functional": "PBEsol",
  "state": "relaxed",
  "crystal_system": "tetragonal",
  "formation_energy_uncorrected_mev_per_atom": 13,
  "magmom_total_mub_per_fu": 0.358,
  "n_ef_per_ev_atom": 1.071,
  "lattice_angstrom": [[-2.3042, 1.1273, -3.4783], [-3.1663, -2.6714, 1.2317], [-2.0605, 3.6112, 2.5353]],
  "species": ["Ca", "Ca", "Si", "Zr"],
  "frac_coords": [[0.0000, 0.5000, 0.0000], [0.5000, 0.0000, 0.0000], [0.5000, 0.5000, 0.5000], [0.0000, 0.0000, 0.5000]]
}



(2)
{
  "formula": "BeIn2Si",
  "functional": "PBEsol",
  "state": "relaxed",
  "crystal_system": "orthorhombic",
  "formation_energy_uncorrected_mev_per_atom": 495,
  "polymorph_energy_mev_per_atom": 161,
  "magmom_total_mub_per_fu": 0.000,
  "n_ef_per_ev_atom": 0.433,
  "lattice_angstrom": [[3.1008, 0.0614, 0.0000], [-0.4049, 3.0748, 0.0000], [0.0000, 0.0000, 7.6460]],
  "species": ["Be", "Si", "In", "In"],
  "frac_coords": [[0.5000, 0.5000, 0.0000], [0.5000, 0.5000, 0.5000], [0.0000, 0.0000, 0.2265], [0.0000, 0.0000, 0.7735]]
}



(3)
{
  "formula": "TlIn5Se8",
  "functional": "PBEsol",
  "state": "relaxed",
  "crystal_system": "monoclinic",
  "formation_energy_uncorrected_mev_per_atom": -492,
  "magmom_total_mub_per_fu": 0.000,
  "lattice_angstrom": [[4.0013, 0.0000, 0.0000], [0.0000, 9.5673, -0.0741], [-2.0007, -1.9400, 9.6797]],
  "species": ["Tl", "In", "In", "In", "In", "In", "Se", "Se", "Se", "Se", "Se", "Se", "Se", "Se"],
  "frac_coords": [[0.5000, 0.5000, 0.0000], [0.6401, 0.8940, 0.2803], [0.3599, 0.1060, 0.7197], [0.2826, 0.6607, 0.5652], [0.7174, 0.3393, 0.4348], [0.0000, 0.0000, 0.0000], [0.7629, 0.8497, 0.5259], [0.2371, 0.1503, 0.4741], [0.0634, 0.7665, 0.1267], [0.9366, 0.2335, 0.8733], [0.8393, 0.5259, 0.6786], [0.1607, 0.4741, 0.3214], [0.4131, 0.8767, 0.8262], [0.5869, 0.1233, 0.1738]]
}



(4)
{
  "formula": "AlZn2Pb",
  "functional": "PBEsol",
  "state": "relaxed",
  "crystal_system": "cubic",
  "polymorph_energy_mev_per_atom": 108,
  "formation_energy_kj_per_mol_fu": 104,
  "magmom_total_mub_per_fu": 0.000,
  "n_ef_per_ev_atom": 0.353,
  "lattice_angstrom": [[4.8123, 0.0000, 0.0000], [2.4061, 4.1676, 0.0000], [2.4061, 1.3892, 3.9292]],
  "species": ["Pb", "Zn", "Zn", "Al"],
  "frac_coords": [[0.5000, 0.5000, 0.5000], [0.2500, 0.2500, 0.2500], [0.7500, 0.7500, 0.7500], [0.0000, 0.0000, 0.0000]]
}



(5)
{
  "formula": "CdAgPt3",
  "functional": "PBEsol",
  "state": "relaxed",
  "crystal_system": "cubic",
  "formation_energy_kj_per_mol_fu": 661,
  "magmom_total_mub_per_fu": 0.000,
  "n_ef_per_ev_atom": 0.614,
  "lattice_angstrom": [[-1.5135, 4.1731, 1.8018], [-4.3665, -1.8624, 0.6457], [1.2629, -1.4382, 4.3919]],
  "species": ["Ag", "Pt", "Pt", "Pt", "Cd"],
  "frac_coords": [[0.0000, 0.0000, 0.0000], [0.0000, 0.5000, 0.0000], [0.0000, 0.0000, 0.5000], [0.5000, 0.0000, 0.0000], [0.5000, 0.5000, 0.5000]]
}



(6)
{
  "formula": "K2TlAg",
  "functional": "PBEsol",
  "state": "relaxed",
  "crystal_system": "tetragonal",
  "polymorph_energy_mev_per_atom": 20,
  "formation_energy_kj_per_mol_fu": 15,
  "magmom_total_mub_per_fu": 0.000,
  "n_ef_per_ev_atom": 0.461,
  "lattice_angstrom": [[3.8757, 0.0000, 0.0000], [0.0000, 3.8757, 0.0000], [0.0000, 0.0000, 9.6956]],
  "species": ["Tl", "K", "K", "Ag"],
  "frac_coords": [[0.0000, 0.0000, 0.5685], [0.0000, 0.0000, 0.9239], [0.5000, 0.5000, 0.3260], [0.5000, 0.5000, 0.6816]]
}



(7)
{
  "formula": "MnCdSe",
  "functional": "PBEsol",
  "state": "relaxed",
  "crystal_system": "cubic",
  "formation_energy_uncorrected_mev_per_atom": 205,
  "magmom_total_mub_per_fu": 4.008,
  "n_ef_per_ev_atom": 1.075,
  "lattice_angstrom": [[4.4327, 0.0000, 0.0000], [2.2164, 3.8389, 0.0000], [2.2164, 1.2796, 3.6193]],
  "species": ["Cd", "Mn", "Se"],
  "frac_coords": [[0.5000, 0.5000, 0.5000], [0.2500, 0.2500, 0.2500], [0.0000, 0.0000, 0.0000]]
}



(8)
{
  "formula": "LiTl",
  "functional": "PBEsol",
  "state": "relaxed",
  "crystal_system": "cubic",
  "formation_energy_kj_per_mol_fu": -52,
  "magmom_total_mub_per_fu": 0.000,
  "n_ef_per_ev_atom": 0.329,
  "lattice_angstrom": [[-1.7770, -1.9552, -2.1446], [2.8727, -1.5420, -0.9745], [-0.4120, -2.3193, 2.4558]],
  "species": ["Tl", "Li"],
  "frac_coords": [[0.5000, 0.5000, 0.5000], [0.0000, 0.0000, 0.0000]]
}



(9)
{
  "formula": "LiSc2Te",
  "functional": "PBEsol",
  "state": "relaxed",
  "crystal_system": "tetragonal",
  "formation_energy_uncorrected_mev_per_atom": -507,
  "magmom_total_mub_per_fu": 0.772,
  "n_ef_per_ev_atom": 0.795,
  "lattice_angstrom": [[-0.4422, -2.0246, -3.0942], [3.6814, -0.5335, -0.1770], [-0.5641, -5.0066, 3.3565]],
  "species": ["Li", "Sc", "Sc", "Te"],
  "frac_coords": [[0.5000, 0.5000, 0.5000], [0.0000, 0.0000, 0.7447], [0.0000, 0.0000, 0.2553], [0.5000, 0.5000, 0.0000]]
}



(10)
{
  "formula": "Cs3AsO4",
  "functional": "PBEsol",
  "state": "relaxed",
  "crystal_system": "orthorhombic",
  "formation_energy_uncorrected_mev_per_atom": -1698,
  "magmom_total_mub_per_fu": 0.021,
  "n_ef_per_ev_atom": 0.000,
  "lattice_angstrom": [[-3.4440, 5.0106, -2.5353], [-0.0029, -4.0527, -8.0053], [-10.5955, -5.7960, 2.9380]],
  "species": ["Cs", "Cs", "Cs", "Cs", "Cs", "Cs", "Cs", "Cs", "Cs", "Cs", "Cs", "Cs", "As", "As", "As", "As", "O", "O", "O", "O", "O", "O", "O", "O", "O", "O", "O", "O", "O", "O", "O", "O"],
  "frac_coords": [[0.8093, 0.0069, 0.3545], [0.1409, 0.2500, 0.9264], [0.3591, 0.2500, 0.4264], [0.8591, 0.7500, 0.0736], [0.6409, 0.7500, 0.5736], [0.3093, 0.9931, 0.1455], [0.1907, 0.5069, 0.6455], [0.6907, 0.4931, 0.8545], [0.1907, 0.9931, 0.6455], [0.6907, 0.0069, 0.8545], [0.8093, 0.4931, 0.3545], [0.3093, 0.5069, 0.1455], [0.7250, 0.2500, 0.1131], [0.2750, 0.7500, 0.8869], [0.2250, 0.7500, 0.3869], [0.7750, 0.2500, 0.6131], [0.3738, 0.5922, 0.3924], [0.8738, 0.4078, 0.1076], [0.6262, 0.0922, 0.6076], [0.1262, 0.9078, 0.8924], [0.6262, 0.4078, 0.6076], [0.1262, 0.5922, 0.8924], [0.3738, 0.9078, 0.3924], [0.8738, 0.0922, 0.1076], [0.9420, 0.2500, 0.5058], [0.5853, 0.2500, 0.2306], [0.0580, 0.7500, 0.4942], [0.5580, 0.2500, 0.0058], [0.9147, 0.2500, 0.7306], [0.4147, 0.7500, 0.7694], [0.0853, 0.7500, 0.2694], [0.4420, 0.7500, 0.9942]]
}



(11)
{
  "formula": "K2BeSe2",
  "functional": "PBEsol",
  "state": "relaxed",
  "crystal_system": "tetragonal",
  "formation_energy_uncorrected_mev_per_atom": -860,
  "magmom_total_mub_per_fu": 0.000,
  "n_ef_per_ev_atom": 0.000,
  "lattice_angstrom": [[-2.7496, -3.7522, 4.2329], [-0.5424, -4.5099, -4.3501], [6.7478, 2.0771, 1.5519]],
  "species": ["Be", "K", "K", "Se", "Se"],
  "frac_coords": [[0.0000, 0.0000, 0.0000], [0.2500, 0.7500, 0.5000], [0.7500, 0.2500, 0.5000], [0.1753, 0.1753, 0.3506], [0.8247, 0.8247, 0.6494]]
}



Summary of E_tot in eV per atom
-4.7626 -3.4329 -3.9451 -2.5431 -3.7099 -2.0141 -4.7311 -2.5653 -5.1828 -5.3143 -3.6531
(order as listed above)